[1]
First-principles (meta-GGA SCAN) data for a PBEsol-optimized structure of TlTe2Br2, as listed in Alexandria.

Cell lengths 9.697, 9.697, 9.697 Å; angles 155.22, 155.22, 35.33 degrees
Element x y z (fractional)
Tl (0.000, 0.000, 0.000)
Te (0.250, 0.750, 0.500)
Te (0.750, 0.250, 0.500)
Br (0.410, 0.410, 0.000)
Br (0.590, 0.590, 0.000)

Output
raw formation energy: -0.2121 eV per atom
crystal system: tetragonal
SG: I4/mmm

[2]
First-principles (meta-GGA SCAN) data for a PBEsol-optimized structure of NaNb2I, as listed in Alexandria.

Cell lengths 11.197, 11.197, 11.197 Å; angles 159.63, 159.63, 28.97 degrees
Element x y z (fractional)
Na (0.000, 0.000, 0.000)
Na (0.750, 0.250, 0.500)
Nb (0.137, 0.625, 0.012)
Nb (0.375, 0.387, 0.512)
Nb (0.613, 0.125, 0.988)
Nb (0.875, 0.863, 0.488)
I (0.250, 0.750, 0.500)
I (0.500, 0.500, 0.000)

Output
raw formation energy: 0.6781 eV per atom
crystal system: tetragonal
SG: I-42d

[3]
First-principles (meta-GGA SCAN) data for a PBEsol-optimized structure of ThSe2, as listed in Alexandria.

Cell lengths 7.543, 4.353, 9.038 Å; angles 90.00, 90.00, 90.00 degrees
Element x y z (fractional)
Th (0.247, 0.250, 0.125)
Th (0.253, 0.750, 0.625)
Th (0.747, 0.250, 0.375)
Th (0.753, 0.750, 0.875)
Se (0.030, 0.750, 0.335)
Se (0.140, 0.750, 0.932)
Se (0.360, 0.250, 0.432)
Se (0.470, 0.250, 0.835)
Se (0.530, 0.750, 0.165)
Se (0.640, 0.750, 0.568)
Se (0.860, 0.250, 0.068)
Se (0.970, 0.250, 0.665)

Output
raw formation energy: -1.9007 eV per atom
crystal system: orthorhombic
SG: Pnma

[4]
First-principles (meta-GGA SCAN) data for a PBEsol-optimized structure of V3CoP4O16, as listed in Alexandria.

Cell lengths 4.758, 5.701, 9.824 Å; angles 90.00, 90.32, 90.00 degrees
Element x y z (fractional)
V (0.000, 0.000, 0.000)
V (0.079, 0.500, 0.543)
V (0.583, 0.000, 0.503)
Co (0.508, 0.500, 0.044)
P (0.147, 0.000, 0.681)
P (0.434, 0.000, 0.178)
P (0.641, 0.500, 0.364)
P (0.973, 0.500, 0.865)
O (0.222, 0.000, 0.831)
O (0.276, 0.206, 0.105)
O (0.276, 0.794, 0.105)
O (0.289, 0.500, 0.880)
O (0.294, 0.208, 0.602)
O (0.294, 0.792, 0.602)
O (0.327, 0.500, 0.392)
O (0.387, 0.000, 0.331)
O (0.714, 0.500, 0.216)
O (0.749, 0.000, 0.151)
O (0.791, 0.292, 0.446)
O (0.791, 0.708, 0.446)
O (0.827, 0.287, 0.941)
O (0.827, 0.713, 0.941)
O (0.831, 0.000, 0.658)
O (0.888, 0.500, 0.715)

Output
raw formation energy: -2.4220 eV per atom
crystal system: monoclinic
SG: Pm

[5]
First-principles (meta-GGA SCAN) data for a PBEsol-optimized structure of Zr2ScAl, as listed in Alexandria.

Cell lengths 3.081, 3.081, 8.728 Å; angles 90.00, 90.00, 90.00 degrees
Element x y z (fractional)
Zr (0.000, 0.000, 0.229)
Zr (0.000, 0.000, 0.771)
Sc (0.500, 0.500, 0.500)
Al (0.500, 0.500, 0.000)

Output
crystal system: tetragonal
SG: P4/mmm

[6]
First-principles (meta-GGA SCAN) data for a PBEsol-optimized structure of Li8MnO5F, as listed in Alexandria.

Cell lengths 5.249, 5.259, 5.739 Å; angles 90.82, 115.69, 113.49 degrees
Element x y z (fractional)
Li (0.000, 0.000, 0.000)
Li (0.046, 0.157, 0.644)
Li (0.187, 0.432, 0.359)
Li (0.411, 0.867, 0.645)
Li (0.531, 0.108, 0.348)
Li (0.606, 0.312, 0.967)
Li (0.693, 0.525, 0.634)
Li (0.864, 0.735, 0.335)
Mn (0.241, 0.602, 0.967)
O (0.100, 0.840, 0.744)
O (0.158, 0.746, 0.225)
O (0.400, 0.523, 0.745)
O (0.452, 0.414, 0.220)
O (0.781, 0.217, 0.750)
F (0.836, 0.084, 0.266)

Output
raw formation energy: -2.2112 eV per atom
crystal system: triclinic
SG: P1

[7]
First-principles (meta-GGA SCAN) data for a PBEsol-optimized structure of Co3O4, as listed in Alexandria.

Cell lengths 5.641, 5.641, 5.641 Å; angles 60.00, 60.00, 60.00 degrees
Element x y z (fractional)
Co (0.000, 0.000, 0.000)
Co (0.000, 0.000, 0.500)
Co (0.000, 0.500, 0.000)
Co (0.375, 0.375, 0.375)
Co (0.500, 0.000, 0.000)
Co (0.625, 0.625, 0.625)
O (0.214, 0.762, 0.762)
O (0.238, 0.238, 0.238)
O (0.238, 0.238, 0.786)
O (0.238, 0.786, 0.238)
O (0.762, 0.214, 0.762)
O (0.762, 0.762, 0.214)
O (0.762, 0.762, 0.762)
O (0.786, 0.238, 0.238)

Output
raw formation energy: -1.4972 eV per atom
crystal system: cubic
SG: Fd-3m

[8]
First-principles (meta-GGA SCAN) data for a PBEsol-optimized structure of BaZn2Rh, as listed in Alexandria.

Cell lengths 6.114, 6.114, 6.114 Å; angles 41.66, 41.66, 41.66 degrees
Element x y z (fractional)
Ba (0.000, 0.000, 0.000)
Zn (0.188, 0.188, 0.188)
Zn (0.486, 0.486, 0.486)
Rh (0.810, 0.810, 0.810)

Output
crystal system: trigonal
SG: R3m

no.,E (eV/atom)
1,-37.37
2,-26.13
3,-47.26
4,-11.22
5,-21.06
6,-7.02
7,-12.47
8,-25.46